Computed, not measured: crystalline BaTeP at its relaxed geometry at the PBE level of DFT.

Results
For the formation energy without anion corrections, the calculation gives -0.643 eV per atom. The energy relative to the lowest polymorph listed for this composition comes out at 30 meV/atom. The density of states at the Fermi level is 2.265 states/eV per cell.

Structure (POSCAR):
```
BaTeP
1.0
-3.028 3.547 1.477
1.843 -3.155 3.253
3.540 2.747 0.660
P Te Ba
1 1 1
Cartesian
-1.405 1.313 2.069
0.219 -0.921 2.661
1.770 1.374 0.330
```

Computed, not measured: crystalline Ga2Cu2AgAu2 at its relaxed geometry at the PBE level of DFT.

Results
The formation energy is -0.6 eV per formula unit. The density of states at the Fermi level is 1.335 states/eV per cell.

Structure (POSCAR):
```
Ga2Cu2AgAu2
1.0
-2.584 1.172 2.092
-1.135 -4.352 -1.933
3.290 -2.588 5.513
Cu Au Ga Ag
2 2 2 1
Cartesian
0.795 -2.198 2.213
-1.223 -3.570 3.458
-1.801 -1.581 1.630
1.373 -4.188 4.042
0.710 -1.673 4.784
-1.138 -4.095 0.888
0.000 0.000 0.000
```

Computed, not measured: crystalline HfHgPbF2 at its relaxed geometry at the PBE level of DFT.

Results
For the formation energy without anion corrections, the calculation gives -1.501 eV per atom. The density of states at the Fermi level is 3.453 states/eV per cell.

Structure (POSCAR):
```
HfHgPbF2
1.0
-2.362 -3.446 -0.818
5.081 -3.906 1.778
-1.402 0.006 4.020
Hg Pb Hf F
1 1 1 2
Cartesian
2.540 -1.953 0.889
0.658 -3.672 2.490
0.000 0.000 0.000
-0.701 0.003 2.010
-1.181 -1.723 -0.409
```

Number 1: final energy -12.40 eV/f.u.. Number 2: final energy -24.21 eV/f.u.. Number 3: final energy -25.21 eV/f.u..